(1)
SbPd4Pt12: optimized geometry, GGA-PBE. Values from VASP.

formation energy without anion corrections	0.12	eV per atom

The structure in Quantum ESPRESSO input format:
```
&SYSTEM
  ibrav = 0, nat = 17, ntyp = 3
/
ATOMIC_SPECIES
Sb 121.76 Sb.upf
Pd 106.42 Pd.upf
Pt 195.08 Pt.upf
CELL_PARAMETERS angstrom
-4.1586 4.1586 4.1586
4.1586 -4.1586 4.1586
4.1586 4.1586 -4.1586
ATOMIC_POSITIONS crystal
Sb 0.0000 0.0000 0.0000
Pd 0.0000 0.0000 0.5000
Pd 0.0000 0.5000 0.0000
Pd 0.5000 0.0000 0.0000
Pd 0.5000 0.5000 0.5000
Pt 0.0000 0.2995 0.2995
Pt 0.0000 0.7005 0.7005
Pt 0.2500 0.5000 0.7500
Pt 0.2500 0.7500 0.5000
Pt 0.2995 0.0000 0.2995
Pt 0.2995 0.2995 0.0000
Pt 0.5000 0.2500 0.7500
Pt 0.5000 0.7500 0.2500
Pt 0.7005 0.0000 0.7005
Pt 0.7005 0.7005 0.0000
Pt 0.7500 0.2500 0.5000
Pt 0.7500 0.5000 0.2500
```

---

(2)
Ba2InS3: optimized geometry, GGA-PBE. Values from VASP.

energy above the most stable polymorph in this dataset	0.018	eV/atom
formation energy without anion corrections	-1.43	eV per atom

The structure in Quantum ESPRESSO input format:
```
&SYSTEM
  ibrav = 0, nat = 12, ntyp = 3
/
ATOMIC_SPECIES
Ba 137.33 Ba.upf
In 114.82 In.upf
S 32.06 S.upf
CELL_PARAMETERS angstrom
6.9194 -3.1752 0.0000
6.9194 3.1752 0.0000
-2.8619 0.0000 8.4320
ATOMIC_POSITIONS crystal
Ba 0.1646 0.1698 0.0839
Ba 0.1698 0.1646 0.5839
Ba 0.8302 0.8354 0.4161
Ba 0.8354 0.8302 0.9161
In 0.4769 0.5231 0.2500
In 0.5231 0.4769 0.7500
S 0.0599 0.9401 0.2500
S 0.3410 0.3473 0.4223
S 0.3473 0.3410 0.9223
S 0.6527 0.6590 0.0777
S 0.6590 0.6527 0.5777
S 0.9401 0.0599 0.7500
```

---

(3)
PrTl8Se6: optimized geometry, GGA-PBE. Values from VASP.

formation energy without anion corrections	-0.60	eV per atom

The structure in Quantum ESPRESSO input format:
```
&SYSTEM
  ibrav = 0, nat = 15, ntyp = 3
/
ATOMIC_SPECIES
Pr 140.91 Pr.upf
Tl 204.38 Tl.upf
Se 78.96 Se.upf
CELL_PARAMETERS angstrom
3.8218 2.2065 9.8234
-3.8218 2.2065 9.8234
0.0000 -4.4130 9.8234
ATOMIC_POSITIONS crystal
Pr 0.0000 0.0000 0.0000
Tl 0.1175 0.7787 0.4600
Tl 0.2213 0.5400 0.8825
Tl 0.3339 0.3339 0.3339
Tl 0.4600 0.1175 0.7787
Tl 0.5400 0.8825 0.2213
Tl 0.6661 0.6661 0.6661
Tl 0.7787 0.4600 0.1175
Tl 0.8825 0.2213 0.5400
Se 0.0629 0.3761 0.7455
Se 0.2545 0.9371 0.6239
Se 0.3761 0.7455 0.0629
Se 0.6239 0.2545 0.9371
Se 0.7455 0.0629 0.3761
Se 0.9371 0.6239 0.2545
```

---

(4)
Cs2CrBr2Cl4: optimized geometry, GGA-PBE. Values from VASP.

formation energy without anion corrections	-1.35	eV per atom

The structure in Quantum ESPRESSO input format:
```
&SYSTEM
  ibrav = 0, nat = 9, ntyp = 4
/
ATOMIC_SPECIES
Cs 132.91 Cs.upf
Cr 52.00 Cr.upf
Br 79.90 Br.upf
Cl 35.45 Cl.upf
CELL_PARAMETERS angstrom
-3.8290 3.8290 5.1350
3.8290 -3.8290 5.1350
3.8290 3.8290 -5.1350
ATOMIC_POSITIONS crystal
Cs 0.2500 0.7500 0.5000
Cs 0.7500 0.2500 0.5000
Cr 0.0000 0.0000 0.0000
Br 0.2418 0.2418 0.0000
Br 0.7582 0.7582 0.0000
Cl 0.2137 0.2137 0.4275
Cl 0.2137 0.7863 0.0000
Cl 0.7863 0.2137 0.0000
Cl 0.7863 0.7863 0.5725
```

---

(5)
GdMgGeAu: optimized geometry, GGA-PBE. Values from VASP.

ΔE_f	-14.899	kcal/mol of atoms

The structure in Quantum ESPRESSO input format:
```
&SYSTEM
  ibrav = 0, nat = 4, ntyp = 4
/
ATOMIC_SPECIES
Gd 157.25 Gd.upf
Mg 24.30 Mg.upf
Ge 72.64 Ge.upf
Au 196.97 Au.upf
CELL_PARAMETERS angstrom
0.0000 3.4968 3.4968
3.4968 0.0000 3.4968
3.4968 3.4968 0.0000
ATOMIC_POSITIONS crystal
Gd 0.0000 0.0000 0.0000
Mg 0.5000 0.5000 0.5000
Ge 0.7500 0.7500 0.7500
Au 0.2500 0.2500 0.2500
```

---

(6)
TiMoPb2: optimized geometry, GGA-PBE. Values from VASP.

ΔE_f	17.764	kcal/mol of atoms
energy above the most stable polymorph in this dataset	0.287	eV/atom

The structure in Quantum ESPRESSO input format:
```
&SYSTEM
  ibrav = 0, nat = 8, ntyp = 3
/
ATOMIC_SPECIES
Ti 47.87 Ti.upf
Mo 95.94 Mo.upf
Pb 207.20 Pb.upf
CELL_PARAMETERS angstrom
-3.8765 3.8765 3.0519
3.8765 -3.8765 3.0519
3.8765 3.8765 -3.0519
ATOMIC_POSITIONS crystal
Ti 0.0000 0.0000 0.0000
Ti 0.7500 0.2500 0.5000
Mo 0.2500 0.7500 0.5000
Mo 0.5000 0.5000 0.0000
Pb 0.1276 0.1250 0.5026
Pb 0.3750 0.8724 0.9974
Pb 0.6224 0.6250 0.4974
Pb 0.8750 0.3776 0.0026
```

---

(7)
SrHfSbTe2: optimized geometry, GGA-PBE. Values from VASP.

energy above the most stable polymorph in this dataset	1.549	eV/atom
formation energy without anion corrections	0.90	eV per atom

The structure in Quantum ESPRESSO input format:
```
&SYSTEM
  ibrav = 0, nat = 5, ntyp = 4
/
ATOMIC_SPECIES
Sr 87.62 Sr.upf
Hf 178.49 Hf.upf
Sb 121.76 Sb.upf
Te 127.60 Te.upf
CELL_PARAMETERS angstrom
5.8750 0.0000 0.0000
0.0000 5.8750 0.0000
0.0000 0.0000 5.7954
ATOMIC_POSITIONS crystal
Sr 0.0000 0.0000 0.0000
Hf 0.5000 0.5000 0.5000
Sb 0.0000 0.0000 0.5000
Te 0.0000 0.5000 0.0000
Te 0.5000 0.0000 0.0000
```

---

(8)
LiZn3In3Pd2: optimized geometry, GGA-PBE. Values from VASP.

ΔE_f	-4.211	kcal/mol of atoms

The structure in Quantum ESPRESSO input format:
```
&SYSTEM
  ibrav = 0, nat = 9, ntyp = 4
/
ATOMIC_SPECIES
Li 6.94 Li.upf
Zn 65.41 Zn.upf
In 114.82 In.upf
Pd 106.42 Pd.upf
CELL_PARAMETERS angstrom
7.6889 0.0000 0.0000
-3.8445 6.6588 0.0000
0.0000 0.0000 3.1154
ATOMIC_POSITIONS crystal
Li 0.0000 0.0000 0.0000
Zn 0.0000 0.3874 0.0000
Zn 0.3874 0.0000 0.0000
Zn 0.6126 0.6126 0.0000
In 0.0000 0.7134 0.5000
In 0.2866 0.2866 0.5000
In 0.7134 0.0000 0.5000
Pd 0.3333 0.6667 0.5000
Pd 0.6667 0.3333 0.5000
```

---

(9)
Mg2Sc5Cd5: optimized geometry, GGA-PBE. Values from VASP.

ΔE_f	-0.888	kcal/mol of atoms

The structure in Quantum ESPRESSO input format:
```
&SYSTEM
  ibrav = 0, nat = 12, ntyp = 3
/
ATOMIC_SPECIES
Mg 24.30 Mg.upf
Sc 44.96 Sc.upf
Cd 112.41 Cd.upf
CELL_PARAMETERS angstrom
4.2748 -2.4670 0.0000
4.2748 2.4670 0.0000
-2.6564 0.0000 13.4322
ATOMIC_POSITIONS crystal
Mg 0.0701 0.0701 0.2208
Mg 0.9299 0.9299 0.7792
Sc 0.0000 0.0000 0.0000
Sc 0.1475 0.1475 0.4389
Sc 0.3825 0.3825 0.1571
Sc 0.6175 0.6175 0.8429
Sc 0.8525 0.8525 0.5611
Cd 0.2238 0.2238 0.6728
Cd 0.3055 0.3055 0.9100
Cd 0.5000 0.5000 0.5000
Cd 0.6945 0.6945 0.0900
Cd 0.7762 0.7762 0.3272
```

---

(10)
NpUP: optimized geometry, GGA-PBE. Values from VASP.

ΔE_f	-3.941	kcal/mol of atoms
energy above the most stable polymorph in this dataset	0.414	eV/atom

The structure in Quantum ESPRESSO input format:
```
&SYSTEM
  ibrav = 0, nat = 3, ntyp = 3
/
ATOMIC_SPECIES
Np 237.00 Np.upf
U 238.03 U.upf
P 30.97 P.upf
CELL_PARAMETERS angstrom
4.4573 0.0000 0.0000
-2.2286 3.8601 0.0000
0.0000 0.0000 3.2033
ATOMIC_POSITIONS crystal
Np 0.0000 0.0000 0.0000
U 0.6667 0.3333 0.2492
P 0.3333 0.6667 0.6909
```

---

(11)
NaLiGe: optimized geometry, GGA-PBE. Values from VASP.

ΔE_f	-5.140	kcal/mol of atoms
energy above the most stable polymorph in this dataset	0.000	eV/atom

The structure in Quantum ESPRESSO input format:
```
&SYSTEM
  ibrav = 0, nat = 6, ntyp = 3
/
ATOMIC_SPECIES
Na 22.99 Na.upf
Li 6.94 Li.upf
Ge 72.64 Ge.upf
CELL_PARAMETERS angstrom
4.0168 -2.2970 0.0000
4.0168 2.2970 0.0000
-2.6635 0.0000 7.1357
ATOMIC_POSITIONS crystal
Na 0.2075 0.2075 0.1267
Na 0.7925 0.7925 0.8733
Li 0.3530 0.3530 0.5603
Li 0.6470 0.6470 0.4397
Ge 0.0561 0.0561 0.6689
Ge 0.9439 0.9439 0.3311
```

---

(12)
Li3ZrS: optimized geometry, GGA-PBE. Values from VASP.

energy above the most stable polymorph in this dataset	0.000	eV/atom
formation energy without anion corrections	0.01	eV per atom

The structure in Quantum ESPRESSO input format:
```
&SYSTEM
  ibrav = 0, nat = 5, ntyp = 3
/
ATOMIC_SPECIES
Li 6.94 Li.upf
Zr 91.22 Zr.upf
S 32.06 S.upf
CELL_PARAMETERS angstrom
4.5177 0.0000 0.0000
0.0000 4.5177 0.0000
0.0000 0.0000 4.5177
ATOMIC_POSITIONS crystal
Li 0.0000 0.0000 0.5000
Li 0.0000 0.5000 0.0000
Li 0.5000 0.0000 0.0000
Zr 0.5000 0.5000 0.5000
S 0.0000 0.0000 0.0000
```

---

(13)
Ni2GeN2: optimized geometry, GGA-PBE. Values from VASP.

energy above the most stable polymorph in this dataset	0.000	eV/atom
formation energy without anion corrections	0.68	eV per atom

The structure in Quantum ESPRESSO input format:
```
&SYSTEM
  ibrav = 0, nat = 5, ntyp = 3
/
ATOMIC_SPECIES
Ni 58.69 Ni.upf
Ge 72.64 Ge.upf
N 14.01 N.upf
CELL_PARAMETERS angstrom
-1.8264 1.8264 4.4641
1.8264 -1.8264 4.4641
1.8264 1.8264 -4.4641
ATOMIC_POSITIONS crystal
Ni 0.2500 0.7500 0.5000
Ni 0.7500 0.2500 0.5000
Ge 0.0000 0.0000 0.0000
N 0.3208 0.3208 0.0000
N 0.6792 0.6792 0.0000
```

---

(14)
SrNbAu: optimized geometry, GGA-PBE. Values from VASP.

ΔE_f	1.846	kcal/mol of atoms
energy above the most stable polymorph in this dataset	0.215	eV/atom

The structure in Quantum ESPRESSO input format:
```
&SYSTEM
  ibrav = 0, nat = 6, ntyp = 3
/
ATOMIC_SPECIES
Sr 87.62 Sr.upf
Nb 92.91 Nb.upf
Au 196.97 Au.upf
CELL_PARAMETERS angstrom
3.7929 0.0000 0.0000
0.0000 3.7929 0.0000
0.0000 0.0000 10.8549
ATOMIC_POSITIONS crystal
Sr 0.0000 0.0000 0.1768
Sr 0.0000 0.0000 0.8232
Nb 0.5000 0.5000 0.3956
Nb 0.5000 0.5000 0.6044
Au 0.0000 0.0000 0.5000
Au 0.5000 0.5000 0.0000
```

---

(15)
Hf2GaPd: optimized geometry, GGA-PBE. Values from VASP.

ΔE_f	-12.983	kcal/mol of atoms

The structure in Quantum ESPRESSO input format:
```
&SYSTEM
  ibrav = 0, nat = 4, ntyp = 3
/
ATOMIC_SPECIES
Hf 178.49 Hf.upf
Ga 69.72 Ga.upf
Pd 106.42 Pd.upf
CELL_PARAMETERS angstrom
4.2435 0.0000 0.0000
0.0000 1.6560 5.3190
0.0000 -1.6560 5.3190
ATOMIC_POSITIONS crystal
Hf 0.0000 0.0000 0.0000
Hf 0.5000 0.3145 0.3145
Ga 0.0000 0.7347 0.7347
Pd 0.5000 0.5841 0.5841
```

---

(16)
ScFe: optimized geometry, GGA-PBE. Values from VASP.

ΔE_f	8.248	kcal/mol of atoms

The structure in Quantum ESPRESSO input format:
```
&SYSTEM
  ibrav = 0, nat = 8, ntyp = 2
/
ATOMIC_SPECIES
Sc 44.96 Sc.upf
Fe 55.84 Fe.upf
CELL_PARAMETERS angstrom
5.2936 0.0000 0.0000
0.0000 5.2936 0.0000
0.0000 0.0000 5.1861
ATOMIC_POSITIONS crystal
Sc 0.1946 0.1946 0.0000
Sc 0.3054 0.6946 0.5000
Sc 0.6946 0.3054 0.5000
Sc 0.8054 0.8054 0.0000
Fe 0.1587 0.1587 0.5000
Fe 0.3413 0.6587 0.0000
Fe 0.6587 0.3413 0.0000
Fe 0.8413 0.8413 0.5000
```

---

(17)
ZrMo2Ir: optimized geometry, GGA-PBE. Values from VASP.

ΔE_f	0.897	kcal/mol of atoms
energy above the most stable polymorph in this dataset	0.236	eV/atom

The structure in Quantum ESPRESSO input format:
```
&SYSTEM
  ibrav = 0, nat = 4, ntyp = 3
/
ATOMIC_SPECIES
Zr 91.22 Zr.upf
Mo 95.94 Mo.upf
Ir 192.22 Ir.upf
CELL_PARAMETERS angstrom
0.0000 3.2159 3.2159
3.2159 0.0000 3.2159
3.2159 3.2159 0.0000
ATOMIC_POSITIONS crystal
Zr 0.0000 0.0000 0.0000
Mo 0.2500 0.2500 0.2500
Mo 0.7500 0.7500 0.7500
Ir 0.5000 0.5000 0.5000
```

---

(18)
CsRbTeSe2: optimized geometry, GGA-PBE. Values from VASP.

formation energy without anion corrections	-0.68	eV per atom

The structure in Quantum ESPRESSO input format:
```
&SYSTEM
  ibrav = 0, nat = 10, ntyp = 4
/
ATOMIC_SPECIES
Cs 132.91 Cs.upf
Rb 85.47 Rb.upf
Te 127.60 Te.upf
Se 78.96 Se.upf
CELL_PARAMETERS angstrom
3.6406 -7.3389 0.0000
3.6406 7.3389 0.0000
0.0000 0.0000 6.9101
ATOMIC_POSITIONS crystal
Cs 0.2500 0.7500 0.7565
Cs 0.7500 0.2500 0.2435
Rb 0.2500 0.2500 0.5000
Rb 0.7500 0.7500 0.5000
Te 0.0000 0.0000 0.0000
Te 0.5000 0.5000 0.0000
Se 0.1595 0.8405 0.2379
Se 0.3405 0.6595 0.2379
Se 0.6595 0.3405 0.7621
Se 0.8405 0.1595 0.7621
```

---

(19)
BaV2CoBr: optimized geometry, GGA-PBE. Values from VASP.

formation energy without anion corrections	0.49	eV per atom

The structure in Quantum ESPRESSO input format:
```
&SYSTEM
  ibrav = 0, nat = 5, ntyp = 4
/
ATOMIC_SPECIES
Ba 137.33 Ba.upf
V 50.94 V.upf
Co 58.93 Co.upf
Br 79.90 Br.upf
CELL_PARAMETERS angstrom
4.6081 0.0000 0.0000
0.0000 4.6081 0.0000
0.0000 0.0000 5.9506
ATOMIC_POSITIONS crystal
Ba 0.0000 0.0000 0.0000
V 0.0000 0.5000 0.5000
V 0.5000 0.0000 0.5000
Co 0.5000 0.5000 0.5000
Br 0.5000 0.5000 0.0000
```

---

(20)
InGa3H: optimized geometry, GGA-PBE. Values from VASP.

energy above the most stable polymorph in this dataset	0.000	eV/atom

The structure in Quantum ESPRESSO input format:
```
&SYSTEM
  ibrav = 0, nat = 5, ntyp = 3
/
ATOMIC_SPECIES
In 114.82 In.upf
Ga 69.72 Ga.upf
H 1.01 H.upf
CELL_PARAMETERS angstrom
4.4418 0.0000 0.0000
0.0000 4.4418 0.0000
0.0000 0.0000 4.4418
ATOMIC_POSITIONS crystal
In 0.0000 0.0000 0.0000
Ga 0.0000 0.5000 0.5000
Ga 0.5000 0.0000 0.5000
Ga 0.5000 0.5000 0.0000
H 0.5000 0.5000 0.5000
```

---

| no. | density (g/cm3) | VASP energy (eV/atom) |
| --- | --- | --- |
| 1 | 16.67 | -5.61 |
| 2 | 4.35 | -4.59 |
| 3 | 7.52 | -3.58 |
| 4 | 3.42 | -3.80 |
| 5 | 8.76 | -6.54 |
| 6 | 10.11 | -5.77 |
| 7 | 5.34 | -3.50 |
| 8 | 7.92 | -2.89 |
| 9 | 4.90 | -3.32 |
| 10 | 15.25 | -10.05 |
| 11 | 2.59 | -2.84 |
| 12 | 2.60 | -3.67 |
| 13 | 6.08 | -5.89 |
| 14 | 8.03 | -4.93 |
| 15 | 11.84 | -7.59 |
| 16 | 4.61 | -7.04 |
| 17 | 11.87 | -9.73 |
| 18 | 4.53 | -3.06 |
| 19 | 4.97 | -5.30 |
| 20 | 6.16 | -2.84 |